Entry 1:
Computed, not measured: crystalline Ca4Pd3Au2 at its relaxed geometry at the PBE level of DFT.

- Size of the total moment: 0.0 μB/f.u.
- Calculated volume: 22.5 A^3/atom
- Final energy: -3.995 eV/atom
- SG: P-3m1, No. 164

Cell: 4.8607 4.8614 9.9103 Å, 89.97 90.00 60.00°
Element x y z (fractional)
Ca 0.6666 0.6668 0.8932
Ca 0.0001 0.9998 0.3394
Ca 0.9999 0.0002 0.6606
Ca 0.3334 0.3332 0.1068
Pd 0.3333 0.3334 0.5058
Pd 0.0000 0.0000 0.0000
Pd 0.6667 0.6666 0.4942
Au 0.3332 0.3336 0.7942
Au 0.6668 0.6664 0.2058

Entry 2:
Computed, not measured: crystalline CaPdAu at its relaxed geometry at the PBE level of DFT.

- Size of the total moment: 0.0 μB/f.u.
- Calculated volume: 22.4 A^3/atom
- E above lowest polymorph: 103 meV per atom
- SG: C2/c, No. 15

Cell: 5.4733 9.7877 7.8470 Å, 92.95 90.00 106.24°
Element x y z (fractional)
Ca 0.5667 0.0000 0.2500
Ca 0.4333 0.0000 0.7500
Ca 0.2935 0.3032 0.1476
Ca 0.9902 0.6968 0.3524
Ca 0.7065 0.6968 0.8524
Ca 0.0098 0.3032 0.6476
Pd 0.7701 0.2096 0.9915
Pd 0.5605 0.7904 0.5085
Pd 0.2299 0.7904 0.0085
Pd 0.4395 0.2096 0.4915
Pd 0.0000 0.5000 0.0000
Pd 0.5000 0.5000 0.5000
Au 0.0000 0.0000 0.5000
Au 0.0000 0.0000 0.0000
Au 0.8182 0.3715 0.3003
Au 0.4467 0.6285 0.1997
Au 0.1818 0.6285 0.6997
Au 0.5533 0.3715 0.8003

Entry 3:
Computed, not measured: crystalline Ca3Pd2Au3 at its relaxed geometry at the PBE level of DFT.

- Size of the total moment: 0.0 μB/f.u.
- Calculated volume: 22.7 A^3/atom
- Final energy: -3.966 eV/atom
- SG: Pnma, No. 62

Cell: 5.6644 7.6934 16.6410 Å, 90.00 90.00 90.00°
Element x y z (fractional)
Ca 0.1214 0.4693 0.3961
Ca 0.6214 0.0307 0.6039
Ca 0.8786 0.5307 0.8961
Ca 0.3786 0.9693 0.1039
Ca 0.8786 0.5307 0.6039
Ca 0.3786 0.9693 0.3961
Ca 0.1214 0.4693 0.1039
Ca 0.6214 0.0307 0.8961
Ca 0.6376 0.3368 0.2500
Ca 0.1376 0.1632 0.7500
Ca 0.3624 0.6632 0.7500
Ca 0.8624 0.8368 0.2500
Pd 0.8717 0.1213 0.3789
Pd 0.3717 0.3787 0.6211
Pd 0.1283 0.8787 0.8789
Pd 0.6283 0.6213 0.1211
Pd 0.1283 0.8787 0.6211
Pd 0.6283 0.6213 0.3789
Pd 0.8717 0.1213 0.1211
Pd 0.3717 0.3787 0.8789
Au 0.1561 0.1824 0.2500
Au 0.6561 0.3176 0.7500
Au 0.8439 0.8176 0.7500
Au 0.3439 0.6824 0.2500
Au 0.5833 0.3209 0.4710
Au 0.0833 0.1791 0.5290
Au 0.4167 0.6791 0.9710
Au 0.9167 0.8209 0.0290
Au 0.4167 0.6791 0.5290
Au 0.9167 0.8209 0.4710
Au 0.5833 0.3209 0.0290
Au 0.0833 0.1791 0.9710

Entry 4:
Computed, not measured: crystalline CaPdAu3 at its relaxed geometry at the PBE level of DFT.

- Size of the total moment: 0.0 μB/f.u.
- Calculated volume: 29.8 A^3/atom
- E above lowest polymorph: 1328 meV per atom
- SG: Pm-3m, No. 221

Cell: 5.2990 5.2990 5.2990 Å, 90.00 90.00 90.00°
Element x y z (fractional)
Ca 0.0000 0.0000 0.0000
Au 0.0000 0.5000 0.0000
Au 0.0000 0.0000 0.5000
Au 0.5000 0.0000 0.0000
Pd 0.5000 0.5000 0.5000

What did the fourth record say?
Computed, not measured: crystalline CaPdAu3 at its relaxed geometry at the PBE level of DFT.

- Size of the total moment: 0.0 μB/f.u.
- Calculated volume: 29.8 A^3/atom
- E above lowest polymorph: 1328 meV per atom
- SG: Pm-3m, No. 221

Cell: 5.2990 5.2990 5.2990 Å, 90.00 90.00 90.00°
Element x y z (fractional)
Ca 0.0000 0.0000 0.0000
Au 0.0000 0.5000 0.0000
Au 0.0000 0.0000 0.5000
Au 0.5000 0.0000 0.0000
Pd 0.5000 0.5000 0.5000

Q: Which formula does entry 3 have?
A: Ca3Pd2Au3